1.
First-principles (PBE+U) data for a relaxed SrTa2VO8 crystal, as listed in Alexandria via LeMat-Bulk.

Values from the calculation:
Its space group is P-1, No. 2. The value obtained for the calculated volume is 156 Å³/cell. The size of the total moment comes out at 1.00 Bohr magnetons per cell. The total energy is -8.6296 eV per atom. The density of states at the Fermi level is 0.00 states/eV/cell.

```
SrTa2VO8
1.0
4.8975 0.0000 0.0000
0.3844 4.8926 0.0000
0.1838 0.2399 6.5228
Sr Ta V O
1 2 1 8
Direct
0.0000 0.0000 0.0000 Sr
0.4701 0.4767 0.2585 Ta
0.5299 0.5233 0.7415 Ta
0.0000 0.0000 0.5000 V
0.1978 0.7862 0.6981 O
0.2271 0.7991 0.2924 O
0.3006 0.3033 0.4948 O
0.3264 0.3371 0.0190 O
0.6736 0.6629 0.9810 O
0.6994 0.6967 0.5052 O
0.7729 0.2009 0.7076 O
0.8022 0.2138 0.3019 O
```

2.
First-principles (PBE+U) data for a relaxed SrTaVO2 crystal, as listed in Alexandria via LeMat-Bulk.

Values from the calculation:
Its space group is P4/mmm, No. 123. The value obtained for the calculated volume is 92 Å³/cell. The size of the total moment comes out at 4.74 Bohr magnetons per cell. The total energy is -6.9242 eV per atom. The density of states at the Fermi level is 2.48 states/eV/cell.

```
SrTaVO2
1.0
4.0990 0.0000 0.0000
0.0000 4.0990 0.0000
0.0000 0.0000 5.4894
Sr Ta V O
1 1 1 2
Direct
0.0000 0.0000 0.0000 Sr
0.5000 0.5000 0.5000 Ta
0.5000 0.5000 0.0000 V
0.0000 0.5000 0.5000 O
0.5000 0.0000 0.5000 O
```

3.
First-principles (PBE+U) data for a relaxed SrTaVO6 crystal, as listed in Alexandria via LeMat-Bulk.

Values from the calculation:
Its space group is P4_2nm, No. 102. The value obtained for the calculated volume is 234 Å³/cell. The size of the total moment comes out at 0.00 Bohr magnetons per cell. The total energy is -8.0463 eV per atom.

```
SrTaVO6
1.0
4.9317 0.0000 0.0000
0.0000 4.9317 0.0000
0.0000 0.0000 9.6048
Sr Ta V O
2 2 2 12
Direct
0.0000 0.0000 0.0000 Sr
0.5000 0.5000 0.5000 Sr
0.0000 0.0000 0.3387 Ta
0.5000 0.5000 0.8387 Ta
0.0000 0.0000 0.6686 V
0.5000 0.5000 0.1686 V
0.1653 0.1653 0.5101 O
0.2253 0.2253 0.7986 O
0.2380 0.2380 0.2070 O
0.2620 0.7380 0.7070 O
0.2747 0.7253 0.2986 O
0.3347 0.6653 0.0101 O
0.6653 0.3347 0.0101 O
0.7253 0.2747 0.2986 O
0.7380 0.2620 0.7070 O
0.7620 0.7620 0.2070 O
0.7747 0.7747 0.7986 O
0.8347 0.8347 0.5101 O
```

4.
First-principles (PBE+U) data for a relaxed SrTaV2O8 crystal, as listed in Alexandria via LeMat-Bulk.

Values from the calculation:
Its space group is P-3m1, No. 164. The value obtained for the calculated volume is 190 Å³/cell. The size of the total moment comes out at 1.00 Bohr magnetons per cell. The total energy is -8.0446 eV per atom. The density of states at the Fermi level is 3.03 states/eV/cell.

```
SrTaV2O8
1.0
5.6616 0.0000 0.0000
-2.8308 4.9031 0.0000
0.0000 0.0000 6.8603
Sr Ta V O
1 1 2 8
Direct
0.0000 0.0000 0.0000 Sr
0.0000 0.0000 0.5000 Ta
0.3333 0.6667 0.7634 V
0.6667 0.3333 0.2366 V
0.1595 0.3191 0.6797 O
0.1595 0.8405 0.6797 O
0.3191 0.1595 0.3203 O
0.3333 0.6667 0.0074 O
0.6667 0.3333 0.9926 O
0.6809 0.8405 0.6797 O
0.8405 0.1595 0.3203 O
0.8405 0.6809 0.3203 O
```

5.
First-principles (PBE+U) data for a relaxed Sr3Ta2VO9 crystal, as listed in Alexandria via LeMat-Bulk.

Values from the calculation:
Its space group is P-3m1, No. 164. The value obtained for the calculated volume is 201 Å³/cell. The size of the total moment comes out at 3.00 Bohr magnetons per cell. The total energy is -8.2767 eV per atom.

```
Sr3Ta2VO9
1.0
5.7340 0.0000 0.0000
-2.8670 4.9658 0.0000
0.0000 0.0000 7.0644
Sr Ta V O
3 2 1 9
Direct
0.0000 0.0000 0.0000 Sr
0.3333 0.6667 0.6609 Sr
0.6667 0.3333 0.3391 Sr
0.3333 0.6667 0.1753 Ta
0.6667 0.3333 0.8247 Ta
0.0000 0.0000 0.5000 V
0.0000 0.5000 0.0000 O
0.1702 0.3404 0.3256 O
0.1702 0.8298 0.3256 O
0.3404 0.1702 0.6744 O
0.5000 0.0000 0.0000 O
0.5000 0.5000 0.0000 O
0.6596 0.8298 0.3256 O
0.8298 0.1702 0.6744 O
0.8298 0.6596 0.6744 O
```

6.
First-principles (PBE+U) data for a relaxed SrTaWO6 crystal, as listed in Alexandria via LeMat-Bulk.

Values from the calculation:
Its space group is P4_2nm, No. 102. The value obtained for the calculated volume is 247 Å³/cell. The size of the total moment comes out at 2.00 Bohr magnetons per cell. The total energy is -8.1716 eV per atom. The density of states at the Fermi level is 0.00 states/eV/cell.

```
SrTaWO6
1.0
5.0049 0.0000 0.0000
0.0000 5.0049 0.0000
0.0000 0.0000 9.8728
Sr Ta W O
2 2 2 12
Direct
0.0000 0.0000 0.0000 Sr
0.5000 0.5000 0.5000 Sr
0.0000 0.0000 0.3386 Ta
0.5000 0.5000 0.8386 Ta
0.0000 0.0000 0.6686 W
0.5000 0.5000 0.1686 W
0.1682 0.1682 0.5025 O
0.2275 0.2275 0.8068 O
0.2288 0.2288 0.2017 O
0.2712 0.7288 0.7017 O
0.2725 0.7275 0.3068 O
0.3318 0.6682 0.0025 O
0.6682 0.3318 0.0025 O
0.7275 0.2725 0.3068 O
0.7288 0.2712 0.7017 O
0.7712 0.7712 0.2017 O
0.7725 0.7725 0.8068 O
0.8318 0.8318 0.5025 O
```